# TbPuAgHg

A geometry-optimized TbPuAgHg structure (PBE, Alexandria via LeMat-Bulk).

Geometry as POSCAR:
```
TbPuAgHg
1.0
-4.5262 -0.8674 -2.5231
-1.5888 -4.9212 -0.9285
-4.1219 -1.9643 2.5992
Tb Hg Ag Pu
1 1 1 1
direct
0.0000 0.0000 0.0000
0.7500 0.7500 0.7500
0.2500 0.2500 0.2500
0.5000 0.5000 0.5000
```

Properties
Space-group type: F-43m, No. 216
ΔE_f, eV/atom: -0.159
Size of the total moment, μB/atom: 1.493

***

# BaMnAl2

A geometry-optimized BaMnAl2 structure (PBE, Alexandria via LeMat-Bulk).

Geometry as POSCAR:
```
BaMnAl2
1.0
-2.4844 -0.8920 3.5721
-3.4938 -2.7205 -0.3464
1.6283 -6.0083 2.3843
Mn Ba Al
1 1 2
direct
0.2500 0.2500 0.2500
0.7500 0.7500 0.7500
0.9442 0.9442 0.1672
0.5558 0.5558 0.3328
```

Properties
Space-group type: C2/m, No. 12
ΔE_f, eV/atom: -0.028
Size of the total moment, μB/atom: 0.775

***

# Er3Cd2Ag3

A geometry-optimized Er3Cd2Ag3 structure (PBE, Alexandria via LeMat-Bulk).

Geometry as POSCAR:
```
Er3Cd2Ag3
1.0
-2.8270 -1.5921 1.7471
-1.7526 -1.7378 -4.4195
7.6386 -6.5957 2.4633
Er Cd Ag
3 2 3
direct
0.6277 0.6277 0.2555
0.3723 0.3723 0.7445
0.5000 0.0000 0.0000
0.7388 0.2388 0.4775
0.2612 0.7612 0.5225
0.1229 0.1229 0.2458
0.0000 0.5000 0.0000
0.8771 0.8771 0.7542
```

Properties
Space-group type: Immm, No. 71
ΔE_f, eV/atom: -0.267
Size of the total moment, μB/atom: 0.000
Polymorph energy (0 for the lowest one), meV/atom: 0

***

# Lu2ZnIn

A geometry-optimized Lu2ZnIn structure (PBE, Alexandria via LeMat-Bulk).

Geometry as POSCAR:
```
Lu2ZnIn
1.0
-2.7894 -1.3969 -1.7260
-0.5296 -2.2728 2.6954
-4.4152 4.8428 3.2160
Zn Lu In
1 2 1
direct
0.5000 0.5000 0.0000
0.0000 0.0000 0.7704
0.0000 0.0000 0.2296
0.5000 0.5000 0.5000
```

Properties
Space-group type: P4/mmm, No. 123
ΔE_f, eV/atom: -0.386
Size of the total moment, μB/atom: 0.000

***

# Li2PaPd9

A geometry-optimized Li2PaPd9 structure (PBE, Alexandria via LeMat-Bulk).

Geometry as POSCAR:
```
Li2PaPd9
1.0
-4.0010 -0.4874 -0.7934
-0.4922 -1.8642 3.6274
-2.1738 9.9773 4.8327
Li Pa Pd
2 1 9
direct
0.0000 0.0000 0.3455
0.0000 0.0000 0.6545
0.0000 0.0000 0.0000
0.5000 0.5000 0.0000
0.5000 0.5000 0.3412
0.5000 0.5000 0.6588
0.5000 0.0000 0.1755
0.5000 0.0000 0.5000
0.5000 0.0000 0.8245
0.0000 0.5000 0.1755
0.0000 0.5000 0.5000
0.0000 0.5000 0.8245
```

Properties
Space-group type: P4/mmm, No. 123
ΔE_f, eV/atom: -0.480
Size of the total moment, μB/atom: 0.000

***

# TbZn3Ru

A geometry-optimized TbZn3Ru structure (PBE, Alexandria via LeMat-Bulk).

Geometry as POSCAR:
```
TbZn3Ru
1.0
5.5803 0.0000 0.0000
0.0000 7.9987 0.0000
0.0000 0.0000 8.1898
Tb Zn Ru
4 12 4
direct
0.2594 0.3718 0.7500
0.2406 0.8718 0.2500
0.7406 0.6282 0.2500
0.7594 0.1282 0.7500
0.6167 0.3115 0.0683
0.8833 0.8115 0.5683
0.8833 0.8115 0.9317
0.3833 0.6885 0.5683
0.3833 0.6885 0.9317
0.1167 0.1885 0.4317
0.1167 0.1885 0.0683
0.6167 0.3115 0.4317
0.2332 0.9583 0.7500
0.2668 0.4583 0.2500
0.7668 0.0417 0.2500
0.7332 0.5417 0.7500
0.0000 0.5000 0.0000
0.5000 0.0000 0.5000
0.5000 0.0000 0.0000
0.0000 0.5000 0.5000
```

Properties
Space-group type: Pnma, No. 62
ΔE_f, eV/atom: -0.125
Size of the total moment, μB/atom: 0.000

***

# LiCa4

A geometry-optimized LiCa4 structure (PBE, Alexandria via LeMat-Bulk).

Geometry as POSCAR:
```
LiCa4
1.0
0.0000 5.8848 5.8848
5.8848 0.0000 5.8848
5.8848 5.8848 0.0000
Li Ca
2 8
direct
0.5000 0.5000 0.5000
0.7500 0.7500 0.7500
0.8898 0.8898 0.8898
0.3306 0.8898 0.8898
0.8898 0.8898 0.3306
0.9194 0.3602 0.3602
0.3602 0.3602 0.3602
0.8898 0.3306 0.8898
0.3602 0.3602 0.9194
0.3602 0.9194 0.3602
```

Properties
Space-group type: Fd-3m, No. 227
ΔE_f, eV/atom: 0.297
Size of the total moment, μB/atom: 0.000
Polymorph energy (0 for the lowest one), meV/atom: 290

***

# Pm6PrSm12

A geometry-optimized Pm6PrSm12 structure (PBE, Alexandria via LeMat-Bulk).

Geometry as POSCAR:
```
Pm6PrSm12
1.0
8.4989 0.0000 2.7246
-4.2310 7.9321 3.4528
0.0368 0.0000 9.6302
Pm Pr Sm
6 1 12
direct
0.4214 0.4743 0.2102
0.0529 0.6845 0.5257
0.3684 0.7898 0.6845
0.5786 0.5257 0.7898
0.9471 0.3155 0.4743
0.6316 0.2102 0.3155
0.0000 0.0000 0.0000
0.5256 0.8420 0.2636
0.6836 0.8944 0.8420
0.7892 0.2636 0.8944
0.4744 0.1580 0.7364
0.3164 0.1056 0.1580
0.2108 0.7364 0.1056
0.2635 0.4217 0.6311
0.1054 0.3689 0.0527
0.1582 0.0527 0.5783
0.7365 0.5783 0.3689
0.8946 0.6311 0.9473
0.8418 0.9473 0.4217
```

Properties
Space-group type: R-3, No. 148
ΔE_f, eV/atom: 0.013
Size of the total moment, μB/atom: 0.000
Polymorph energy (0 for the lowest one), meV/atom: 0

***

# NpGe2Au5

A geometry-optimized NpGe2Au5 structure (PBE, Alexandria via LeMat-Bulk).

Geometry as POSCAR:
```
NpGe2Au5
1.0
4.0480 0.0000 1.3457
1.5276 6.1365 2.1661
0.0300 0.4194 6.6712
Np Ge Au
1 2 5
direct
0.0000 0.0000 0.0000
0.7469 0.7531 0.7531
0.2531 0.2469 0.2469
0.0000 0.5000 0.5000
0.6387 0.5601 0.1626
0.3613 0.4399 0.8374
0.3613 0.8374 0.4399
0.6387 0.1626 0.5601
```

Properties
Space-group type: Immm, No. 71
ΔE_f, eV/atom: -0.039
Size of the total moment, μB/atom: 0.535

***

# Ti12BeGa6

A geometry-optimized Ti12BeGa6 structure (PBE, Alexandria via LeMat-Bulk).

Geometry as POSCAR:
```
Ti12BeGa6
1.0
6.6672 0.5180 0.6206
-0.4987 6.6686 0.6206
-0.4987 -0.5810 6.6722
Ti Be Ga
12 1 6
direct
0.8071 0.5192 0.4395
0.4395 0.8071 0.5192
0.5192 0.4395 0.8071
0.1929 0.4808 0.5605
0.5605 0.1929 0.4808
0.4808 0.5605 0.1929
0.0606 0.1417 0.3784
0.8583 0.6216 0.9394
0.6216 0.9394 0.8583
0.9394 0.8583 0.6216
0.1417 0.3784 0.0606
0.3784 0.0606 0.1417
0.0000 0.0000 0.0000
0.7348 0.8780 0.2515
0.7485 0.2652 0.1220
0.1220 0.7485 0.2652
0.2652 0.1220 0.7485
0.2515 0.7348 0.8780
0.8780 0.2515 0.7348
```

Properties
Space-group type: R-3, No. 148
ΔE_f, eV/atom: -0.249
Size of the total moment, μB/atom: 0.001

***

# PrTaTiN3

A geometry-optimized PrTaTiN3 structure (PBE, Alexandria via LeMat-Bulk).

Geometry as POSCAR:
```
PrTaTiN3
1.0
3.3315 0.0000 0.0000
0.0000 6.8616 0.2774
0.0000 -2.3762 7.3402
Pr Ta Ti N
2 2 2 6
direct
0.7500 0.8029 0.7959
0.2500 0.1971 0.2041
0.2500 0.6375 0.1220
0.7500 0.3625 0.8780
0.2500 0.1234 0.6074
0.7500 0.8766 0.3926
0.2500 0.8028 0.4917
0.7500 0.8715 0.1349
0.7500 0.4565 0.1692
0.7500 0.1972 0.5083
0.2500 0.5435 0.8308
0.2500 0.1285 0.8651
```

Properties
Space-group type: P2_1/m, No. 11
Size of the total moment, μB/atom: 0.000
Formation energy from raw total energies, kJ/mol of atoms: -104.83

***

# GdAl2Tc

A geometry-optimized GdAl2Tc structure (PBE, Alexandria via LeMat-Bulk).

Geometry as POSCAR:
```
GdAl2Tc
1.0
3.2081 0.0000 0.0000
0.0000 3.2081 0.0000
0.0000 0.0000 7.1913
Gd Tc Al
1 1 2
direct
0.5000 0.5000 0.5000
0.5000 0.5000 0.0000
0.0000 0.0000 0.8144
0.0000 0.0000 0.1856
```

Properties
Space-group type: P4/mmm, No. 123
ΔE_f, eV/atom: -0.343
Size of the total moment, μB/atom: 1.824
Polymorph energy (0 for the lowest one), meV/atom: 0

***

Number 1: VASP energy -22.75 eV/cell. Number 2: VASP energy -18.69 eV/cell. Number 3: VASP energy -26.21 eV/cell. Number 4: VASP energy -14.60 eV/cell. Number 5: VASP energy -65.82 eV/cell. Number 6: VASP energy -73.41 eV/cell. Number 7: VASP energy -16.87 eV/cell. Number 8: VASP energy -89.67 eV/cell. Number 9: VASP energy -38.88 eV/cell. Number 10: VASP energy -121.35 eV/cell. Number 11: VASP energy -112.04 eV/cell. Number 12: VASP energy -33.31 eV/cell.